# NbCr3Hg

A relaxed structure of NbCr3Hg (PBE-GGA, the Alexandria database).

Structure (POSCAR):
```
NbCr3Hg
1.0
-2.192 -4.223 -0.148
4.091 -2.163 1.116
-1.057 0.386 4.625
Nb Cr Hg
1 3 1
Cartesian
0.000 0.000 0.000
-1.096 -2.111 -0.074
-0.529 0.193 2.313
2.046 -1.081 0.558
0.421 -3.000 2.796
```

Properties
Polymorph energy (0 for the lowest one): 0.0 meV/atom
Final energy: -31.96 eV/cell